Compound: LaAlTe2
Source: Alexandria
Functional: PBE
Structure: optimized geometry

Computed properties:
formation energy (no corrections)	-0.341	eV per atom
DFT total energy	-16.32	eV/cell
symmetry	No. 216

Unit cell a=5.4840 b=5.4840 c=5.4840 alpha=60.00 beta=60.00 gamma=60.00
Element x y z (fractional)
Te1 0.0000 0.0000 0.0000
La1 0.7500 0.7500 0.7500
Al1 0.5000 0.5000 0.5000
Te2 0.2500 0.2500 0.2500